HfTiCrO6 after structural relaxation. Source: the Alexandria database, functional GGA+U.

a = 4.6666 Å, b = 4.6666 Å, c = 9.1910 Å
α = 90.00°, β = 90.00°, γ = 90.00°
Last column: magnetic moment on the atom in μB.
Element x y z (fractional)
1 O 0.7058 0.7058 0.9937  -0.07
2 O 0.6870 0.6870 0.6655  -0.03
3 O 0.2989 0.2989 0.3418  -0.04
4 O 0.7011 0.7011 0.3418  -0.04
5 Cr 0.0000 0.0000 0.9995  2.22
6 Ti 0.0000 0.0000 0.3303  0.05
7 O 0.2942 0.2942 0.9937  -0.07
8 O 0.3130 0.3130 0.6655  -0.03
9 O 0.7989 0.2011 0.8418  -0.04
10 Ti 0.5000 0.5000 0.8303  0.05
11 O 0.1870 0.8130 0.1655  -0.03
12 O 0.2058 0.7942 0.4937  -0.07
13 Cr 0.5000 0.5000 0.4995  2.22
14 O 0.7942 0.2058 0.4937  -0.07
15 Hf 0.5000 0.5000 0.1682  0.02
16 O 0.8130 0.1870 0.1655  -0.03
17 O 0.2011 0.7989 0.8418  -0.04
18 Hf 0.0000 0.0000 0.6682  0.02

Output
**Space-group type**: P4_2nm, No. 102
**Uncorrected energy**: -157.99 eV/cell